Record 1
Below is crystalline La3Nd2Th2 at its relaxed geometry, with properties calculated at the GGA-PBE level.

```
data_La3Nd2Th2
_space_group_name_H-M_alt 'C 1 2/m 1'
_space_group_IT_number 12
_space_group_name_Hall '-C 2y'
_cell_length_a 9.539
_cell_length_b 6.150
_cell_length_c 9.398
_cell_angle_alpha 90.00
_cell_angle_beta 118.35
_cell_angle_gamma 90.00
loop_
_atom_site_label
_atom_site_type_symbol
_atom_site_fract_x
_atom_site_fract_y
_atom_site_fract_z
_atom_site_occupancy
La1 La 0.000 0.000 0.000 1
La2 La 0.137 0.000 0.428 1
Nd1 Nd 0.075 0.500 0.725 1
Th1 Th 0.204 0.500 0.138 1
```

Record 2
Below is crystalline La2Nd8Th at its relaxed geometry, with properties calculated at the GGA-PBE level.

```
data_La2Nd8Th
_space_group_name_H-M_alt 'C 1 2/m 1'
_space_group_IT_number 12
_space_group_name_Hall '-C 2y'
_cell_length_a 18.782
_cell_length_b 5.207
_cell_length_c 8.245
_cell_angle_alpha 90.00
_cell_angle_beta 105.14
_cell_angle_gamma 90.00
loop_
_atom_site_label
_atom_site_type_symbol
_atom_site_fract_x
_atom_site_fract_y
_atom_site_fract_z
_atom_site_occupancy
La1 La 0.228 0.000 0.136 1
Nd1 Nd 0.043 0.000 0.234 1
Nd2 Nd 0.090 0.500 0.949 1
Nd3 Nd 0.133 0.000 0.674 1
Nd4 Nd 0.179 0.500 0.407 1
Th1 Th 0.000 0.500 0.500 1
```

no.,M_tot (μB per formula unit),calculated formation energy (eV per atom)
1,0.00,0.135
2,0.00,0.030